1.
A plane-wave DFT calculation with PBEsol was carried out for a geometry-optimized Ag2BiAu2 structure.

Lattice parameters (Å, degrees): 7.7780 7.7780 3.2084 90.00 90.00 90.00
Closest atoms and distances in Å follow each position.
Space group P4/mbm (No. 127)
Inequivalent atoms, fractional coordinates:
Ag1 0.1661 0.3339 0.0000 [4 per cell]  6 Au 2.76-2.82
Bi1 0.0000 0.0000 0.5000 [2 per cell]  4 Au 3.05, 2 Bi 3.21, 8 Ag 3.31
Au1 0.1295 0.6295 0.5000 [4 per cell]  6 Ag 2.76-2.82, 1 Au 2.85, 2 Bi 3.05

Results
- ΔH_f (0 K) (eV/atom) = 0.00
- DOS at the Fermi energy (states/eV per cell) = 3.26

=====

2.
A plane-wave DFT calculation with PBEsol was carried out for a geometry-optimized AgBi2Au2 structure.

Lattice parameters (Å, degrees): 4.5743 4.5743 12.2506 90.00 90.00 90.00
Closest atoms and distances in Å follow each position.
Space group I4/mmm (No. 139)
Inequivalent atoms, fractional coordinates:
Ag1 0.0000 0.0000 0.0000 [2 per cell]  8 Au 3.48, 8 Bi 3.82
Bi1 0.0000 0.5000 0.2500 [4 per cell]  4 Au 2.90, 4 Bi 3.23
Au1 0.0000 0.0000 0.3954 [4 per cell]  1 Au 2.56

Results
- ΔH_f (0 K) (eV/atom) = 0.36
- DOS at the Fermi energy (states/eV per cell) = 4.23

=====

3.
A plane-wave DFT calculation with PBEsol was carried out for a geometry-optimized Hf2AgBiAu structure.

Lattice parameters (Å, degrees): 5.0540 5.0540 5.1339 90.00 90.00 90.00
Closest atoms and distances in Å follow each position.
Space group P4/mmm (No. 123)
Inequivalent atoms, fractional coordinates:
Hf1 0.0000 0.5000 0.0000 [2 per cell]  2 Ag 2.53
Ag1 0.0000 0.0000 0.0000 [1 per cell]  4 Hf 2.53, 2 Bi 2.57
Bi1 0.0000 0.0000 0.5000 [1 per cell]  2 Ag 2.57
Au1 0.5000 0.5000 0.5000 [1 per cell]  4 Bi 3.57, 8 Hf 3.60

Results
- ΔH_f (0 K) (eV/atom) = 1.09
- DOS at the Fermi energy (states/eV per cell) = 4.39

=====

4.
A plane-wave DFT calculation with PBEsol was carried out for a geometry-optimized AgAuBr2 structure.

Lattice parameters (Å, degrees): 3.4760 3.4760 6.9649 90.00 90.00 90.00
Closest atoms and distances in Å follow each position.
Space group P4/mmm (No. 123)
Inequivalent atoms, fractional coordinates:
Ag1 0.0000 0.0000 0.0000 [1 per cell]  8 Br 3.00
Au1 0.0000 0.0000 0.5000 [1 per cell]  8 Br 3.02
Br1 0.5000 0.5000 0.2481 [2 per cell]  4 Ag 3.00, 4 Au 3.02

Results
- E_form (uncorrected) (kJ per mole of atoms) = 20.93
- DOS at the Fermi energy (states/eV per cell) = 1.30

=====

5.
A plane-wave DFT calculation with PBEsol was carried out for a geometry-optimized AgAuBr2 structure.

Lattice parameters (Å, degrees): 12.8085 3.8311 4.4230 90.00 93.38 90.00
Closest atoms and distances in Å follow each position.
Space group C2/m (No. 12)
Inequivalent atoms, fractional coordinates:
Ag1 0.0000 0.0000 0.0000 [2 per cell]  4 Br 2.83, 4 Au 2.93
Au1 0.0000 0.5000 0.5000 [2 per cell]  2 Br 2.42
Br1 0.1515 0.5000 0.1990 [4 per cell]  1 Au 2.42

Results
- E_form (uncorrected) (kJ per mole of atoms) = -12.66
- DOS at the Fermi energy (states/eV per cell) = 0.00

=====

6.
A plane-wave DFT calculation with PBEsol was carried out for a geometry-optimized AgAu2Br2 structure.

Lattice parameters (Å, degrees): 3.7297 3.7297 16.0601 90.00 90.00 90.00
Closest atoms and distances in Å follow each position.
Space group I4/mmm (No. 139)
Inequivalent atoms, fractional coordinates:
Ag1 0.0000 0.0000 0.0000 [2 per cell]  8 Br 3.05
Au1 0.0000 0.5000 0.2500 [4 per cell]  4 Au 2.64
Br1 0.0000 0.0000 0.4049 [4 per cell]  4 Ag 3.05, 1 Br 3.05, 4 Au 3.11

Results
- E_form (uncorrected) (kJ per mole of atoms) = 22.37
- DOS at the Fermi energy (states/eV per cell) = 2.70

=====

7.
A plane-wave DFT calculation with PBEsol was carried out for a geometry-optimized AgAuBr2 structure.

Lattice parameters (Å, degrees): 4.1237 4.1237 23.1467 90.00 90.00 120.00
Closest atoms and distances in Å follow each position.
Space group R-3m (No. 166, hexagonal axes)
Inequivalent atoms, fractional coordinates:
Ag1 0.0000 0.0000 0.0000 [3 per cell]  6 Br 2.80
Au1 0.0000 0.0000 0.5000 [3 per cell]  2 Br 2.39
Br1 0.0000 0.0000 0.3967 [6 per cell]  1 Au 2.39

Results
- E_form (uncorrected) (kJ per mole of atoms) = -7.36

=====

8.
A plane-wave DFT calculation with PBEsol was carried out for a geometry-optimized AgSnAu2Br structure.

Lattice parameters (Å, degrees): 5.0202 5.0202 5.2892 90.00 90.00 90.00
Closest atoms and distances in Å follow each position.
Space group P4/mmm (No. 123)
Inequivalent atoms, fractional coordinates:
Ag1 0.0000 0.0000 0.0000 [1 per cell]  4 Au 2.51, 2 Sn 2.64
Sn1 0.0000 0.0000 0.5000 [1 per cell]  2 Ag 2.64
Au1 0.0000 0.5000 0.0000 [2 per cell]  2 Ag 2.51
Br1 0.5000 0.5000 0.5000 [1 per cell]  4 Sn 3.55, 8 Au 3.65

Results
- E_form (uncorrected) (kJ per mole of atoms) = 53.41
- DOS at the Fermi energy (states/eV per cell) = 2.21

=====

9.
A plane-wave DFT calculation with PBEsol was carried out for a geometry-optimized AgAuC2 structure.

Lattice parameters (Å, degrees): 4.9519 4.9519 9.2813 90.00 90.00 90.00
Closest atoms and distances in Å follow each position.
Space group I-42d (No. 122)
Inequivalent atoms, fractional coordinates:
Ag1 0.0000 0.0000 0.0000 [4 per cell]  4 C 2.15
Au1 0.0000 0.0000 0.5000 [4 per cell]  4 C 2.05
C1 0.2331 0.2500 0.6250 [8 per cell]  2 Au 2.05, 2 Ag 2.15

Results
- ΔH_f (0 K) (eV/atom) = 1.97
- DOS at the Fermi energy (states/eV per cell) = 9.91

=====

10.
A plane-wave DFT calculation with PBEsol was carried out for a geometry-optimized AgAuC2Cl structure.

Lattice parameters (Å, degrees): 3.6792 3.6792 5.8994 90.00 90.00 90.00
Closest atoms and distances in Å follow each position.
Space group P4/mmm (No. 123)
Inequivalent atoms, fractional coordinates:
Ag1 0.0000 0.0000 0.0000 [1 per cell]  4 Au 2.60
Au1 0.5000 0.5000 0.0000 [1 per cell]  4 Ag 2.60
C1 0.0000 0.5000 0.5000 [2 per cell]  2 Cl 1.84
Cl1 0.5000 0.5000 0.5000 [1 per cell]  4 C 1.84

Results
- E_form (uncorrected) (kJ per mole of atoms) = 259.82
- DOS at the Fermi energy (states/eV per cell) = 2.31

=====

11.
A plane-wave DFT calculation with PBEsol was carried out for a geometry-optimized AgAu2CF structure.

Lattice parameters (Å, degrees): 5.0713 5.0713 3.9279 90.00 90.00 90.00
Closest atoms and distances in Å follow each position.
Space group P4/mmm (No. 123)
Inequivalent atoms, fractional coordinates:
Ag1 0.0000 0.0000 0.0000 [1 per cell]  2 F 1.96
Au1 0.0000 0.5000 0.0000 [2 per cell]  2 Ag 2.54
C1 0.5000 0.5000 0.5000 [1 per cell]  8 Au 3.21, 4 F 3.59
F1 0.0000 0.0000 0.5000 [1 per cell]  2 Ag 1.96

Results
- E_form (uncorrected) (kJ per mole of atoms) = 163.90
- DOS at the Fermi energy (states/eV per cell) = 1.89

=====

12.
A plane-wave DFT calculation with PBEsol was carried out for a geometry-optimized Ca2AgAu structure.

Lattice parameters (Å, degrees): 5.0902 5.0902 3.5831 90.00 90.00 90.00
Closest atoms and distances in Å follow each position.
Space group P4/mmm (No. 123)
Inequivalent atoms, fractional coordinates:
Ca1 0.0000 0.5000 0.0000 [2 per cell]  4 Au 3.11, 4 Ag 3.11
Ag1 0.0000 0.0000 0.5000 [1 per cell]  8 Ca 3.11
Au1 0.5000 0.5000 0.5000 [1 per cell]  8 Ca 3.11

Results
- ΔH_f (0 K) (eV/atom) = -0.52
- DOS at the Fermi energy (states/eV per cell) = 2.86